No. 1
First-principles (PBE-GGA) data for a relaxed Ga2IrF crystal, as listed in the Alexandria database.

Cell and atoms, written as POSCAR:
```
Ga2IrF
1.0
6.1222 0.0000 0.0000
0.0000 6.1222 0.0000
0.0000 0.0000 6.1222
Ga Ir F
8 4 4
direct
0.2500 0.2500 0.2500
0.2500 0.2500 0.7500
0.2500 0.7500 0.2500
0.2500 0.7500 0.7500
0.7500 0.2500 0.2500
0.7500 0.2500 0.7500
0.7500 0.7500 0.2500
0.7500 0.7500 0.7500
0.0000 0.0000 0.0000
0.0000 0.5000 0.5000
0.5000 0.0000 0.5000
0.5000 0.5000 0.0000
0.0000 0.0000 0.5000
0.0000 0.5000 0.0000
0.5000 0.0000 0.0000
0.5000 0.5000 0.5000
```

- theoretical density (Mg/m³) = 10.15
- energy relative to the lowest polymorph listed for this composition (meV per atom) = 94.1

No. 2
First-principles (PBE-GGA) data for a relaxed KTaGa2Ag crystal, as listed in the Alexandria database.

Cell and atoms, written as POSCAR:
```
KTaGa2Ag
1.0
5.1050 0.0000 0.0000
0.0000 5.1050 0.0000
0.0000 0.0000 6.0574
K Ta Ga Ag
1 1 2 1
direct
0.0000 0.0000 0.0000
0.0000 0.0000 0.5000
0.0000 0.5000 0.5000
0.5000 0.0000 0.5000
0.5000 0.5000 0.0000
```

- energy of formation (eV/f.u.) = 5.3
- theoretical density (Mg/m³) = 4.92

No. 3
First-principles (PBE-GGA) data for a relaxed SrCeTe2 crystal, as listed in the Alexandria database.

Cell and atoms, written as POSCAR:
```
SrCeTe2
1.0
3.9623 0.0000 0.0000
0.0000 3.9623 0.0000
0.0000 0.0000 7.9930
Sr Ce Te
1 1 2
direct
0.0000 0.0000 0.0000
0.0000 0.0000 0.5000
0.5000 0.5000 0.2626
0.5000 0.5000 0.7374
```

- theoretical density (Mg/m³) = 6.39
- energy relative to the lowest polymorph listed for this composition (meV per atom) = 186.1

No. 4
First-principles (PBE-GGA) data for a relaxed ZnPdO3 crystal, as listed in the Alexandria database.

Cell and atoms, written as POSCAR:
```
ZnPdO3
1.0
3.8264 0.0000 0.0000
0.0000 3.8264 0.0000
0.0000 0.0000 3.8264
Zn Pd O
1 1 3
direct
0.0000 0.0000 0.0000
0.5000 0.5000 0.5000
0.0000 0.0000 0.5000
0.0000 0.5000 0.0000
0.5000 0.0000 0.0000
```

- total energy (eV per atom) = -4.08
- theoretical density (Mg/m³) = 6.52

Spin magnetization, record by record: 0.000, 0.172, 0.437, 0.700 μB/atom